1.
# KTi2NiPd

KTi2NiPd after structural relaxation (GGA-PBE, Alexandria).

Structure (extended XYZ):
```
5
Lattice="4.854 0.000 0.000 0.000 5.001 0.000 0.000 0.000 4.854" Properties=species:S:1:pos:R:3 pbc="T T T"
Ti 2.427 0.000 0.000
Pd 0.000 0.000 0.000
K 2.427 2.500 2.427
Ni 0.000 2.500 0.000
Ti 0.000 0.000 2.427
```

Electronic total energy (eV per atom): -4.812
Total magnetic moment (μB/cell): 2.3
Symmetry: P4/mmm

2.
# CaNbSe2Br

CaNbSe2Br after structural relaxation (GGA-PBE, Alexandria).

Structure (extended XYZ):
```
5
Lattice="5.097 0.000 0.000 0.000 5.097 0.000 0.000 0.000 5.205" Properties=species:S:1:pos:R:3 pbc="T T T"
Nb 0.000 0.000 0.000
Ca 2.549 2.549 2.603
Br 0.000 0.000 2.603
Se 2.549 0.000 0.000
Se 0.000 2.549 0.000
```

Total magnetic moment (μB/cell): 0.0
Formation energy from raw total energies (eV per atom): -0.774
Symmetry: P4/mmm
Energy above the most stable polymorph in this dataset (meV/atom): 0